# 1
VASP calculation (PBE) on an optimized crystal structure of SrYSc2Ir.

Summary:
Its symmetry is P4/mmm. The calculation puts the spin magnetization at 0.0000 μB per atom. Its total DFT energy (no corrections) is -6.240 eV per atom.

a = 5.2152 Å, b = 5.2152 Å, c = 5.4870 Å
α = 90.00°, β = 90.00°, γ = 90.00°
With the nearest neighbours (Å) after each atom.
Atoms (fractional coordinates):
Sr  0.0000  0.0000  0.0000  4 Y 3.69, 8 Sc 3.79
Y  0.5000  0.5000  0.0000  2 Ir 2.74
Sc  0.0000  0.5000  0.5000  2 Ir 2.61
Sc  0.5000  0.0000  0.5000  2 Ir 2.61
Ir  0.5000  0.5000  0.5000  4 Sc 2.61, 2 Y 2.74


# 2
VASP calculation (PBE) on an optimized crystal structure of Ce5In2Rh.

Summary:
Its symmetry is Cmcm. The calculation puts the spin magnetization at 0.6605 μB per atom. Its total DFT energy (no corrections) is -5.267 eV per atom.

a = 8.8246 Å, b = 8.8246 Å, c = 12.1668 Å
α = 90.00°, β = 90.00°, γ = 144.21°
With the nearest neighbours (Å) after each atom.
Atoms (fractional coordinates):
Ce  0.0531  0.9469  0.5919  1 Rh 2.79, 1 Ce 2.86, 1 In 3.09
Ce  0.0531  0.9469  0.9081  1 Rh 2.79, 1 Ce 2.86, 1 In 3.09
Ce  0.2767  0.7233  0.5538  1 Rh 2.95, 2 Ce 3.14, 2 In 3.25
Ce  0.2767  0.7233  0.9462  1 Rh 2.95, 2 Ce 3.14, 2 In 3.25
Ce  0.3146  0.6854  0.2500  2 Rh 2.72
Ce  0.6854  0.3146  0.7500  2 Rh 2.72
Ce  0.7233  0.2767  0.0538  1 Rh 2.95, 2 Ce 3.14, 2 In 3.25
Ce  0.7233  0.2767  0.4462  1 Rh 2.95, 2 Ce 3.14, 2 In 3.25
Ce  0.9469  0.0531  0.0919  1 Rh 2.79, 1 Ce 2.86, 1 In 3.09
Ce  0.9469  0.0531  0.4081  1 Rh 2.79, 1 Ce 2.86, 1 In 3.09
In  0.1346  0.8654  0.1354  1 In 2.79, 1 Ce 3.09
In  0.1346  0.8654  0.3646  1 In 2.79, 1 Ce 3.09
In  0.8654  0.1346  0.6354  1 In 2.79, 1 Ce 3.09
In  0.8654  0.1346  0.8646  1 In 2.79, 1 Ce 3.09
Rh  0.1731  0.8269  0.7500  6 Ce 2.72-2.95
Rh  0.8269  0.1731  0.2500  6 Ce 2.72-2.95


# 3
VASP calculation (PBE) on an optimized crystal structure of ZrTlFe2Si.

Summary:
Its symmetry is P4/mmm. The calculation puts the spin magnetization at 0.0000 μB per atom. Its total DFT energy (no corrections) is -5.899 eV per atom.

a = 4.2763 Å, b = 4.2763 Å, c = 4.9507 Å
α = 90.00°, β = 90.00°, γ = 90.00°
With the nearest neighbours (Å) after each atom.
Atoms (fractional coordinates):
Zr  0.0000  0.0000  0.0000  4 Tl 3.02, 8 Fe 3.27
Tl  0.5000  0.5000  0.0000  2 Si 2.48
Fe  0.0000  0.5000  0.5000  2 Si 2.14
Fe  0.5000  0.0000  0.5000  2 Si 2.14
Si  0.5000  0.5000  0.5000  4 Fe 2.14


# 4
VASP calculation (PBE) on an optimized crystal structure of Tm2CuAu2.

Summary:
Its symmetry is Ibam. The calculation puts the spin magnetization at 0.0000 μB per atom. Its total DFT energy (no corrections) is -4.511 eV per atom.

a = 7.4979 Å, b = 7.4979 Å, c = 7.4979 Å
α = 130.04°, β = 70.11°, γ = 134.18°
With the nearest neighbours (Å) after each atom.
Atoms (fractional coordinates):
Tm  0.1467  0.2076  0.3543  4 Au 2.88-2.95, 2 Cu 2.97
Tm  0.3533  0.7076  0.0609  4 Au 2.88-2.95, 2 Cu 2.97
Tm  0.6467  0.2924  0.9391  4 Au 2.88-2.95, 2 Cu 2.97
Tm  0.8533  0.7924  0.6457  4 Au 2.88-2.95, 2 Cu 2.97
Cu  0.2500  0.7500  0.5000  4 Au 2.63, 2 Cu 2.92
Cu  0.7500  0.2500  0.5000  4 Au 2.63, 2 Cu 2.92
Au  0.1196  0.7552  0.8747  2 Cu 2.63, 2 Tm 2.88-2.89
Au  0.3804  0.2552  0.6356  2 Cu 2.63, 2 Tm 2.88-2.89
Au  0.6196  0.7448  0.3644  2 Cu 2.63, 2 Tm 2.88-2.89
Au  0.8804  0.2448  0.1253  2 Cu 2.63, 2 Tm 2.88-2.89


# 5
VASP calculation (PBE) on an optimized crystal structure of Y3HoMg12.

Summary:
Its symmetry is P4/mmm. The calculation puts the spin magnetization at 0.0000 μB per atom. Its total DFT energy (no corrections) is -2.770 eV per atom.

a = 4.6276 Å, b = 4.6276 Å, c = 18.9626 Å
α = 90.00°, β = 90.00°, γ = 90.00°
With the nearest neighbours (Å) after each atom.
Atoms (fractional coordinates):
Y  0.0000  0.0000  0.0000  12 Mg 3.27-3.32
Y  0.0000  0.0000  0.2505  12 Mg 3.27-3.32
Y  0.0000  0.0000  0.7495  12 Mg 3.27-3.32
Ho  0.0000  0.0000  0.5000  12 Mg 3.27-3.30
Mg  0.0000  0.5000  0.1253  8 Mg 3.27-3.32, 4 Y 3.32
Mg  0.0000  0.5000  0.3756  8 Mg 3.27-3.31, 2 Ho 3.30, 2 Y 3.31
Mg  0.0000  0.5000  0.6244  8 Mg 3.27-3.31, 2 Ho 3.30, 2 Y 3.31
Mg  0.0000  0.5000  0.8747  8 Mg 3.27-3.32, 4 Y 3.32
Mg  0.5000  0.0000  0.1253  8 Mg 3.27-3.32, 4 Y 3.32
Mg  0.5000  0.0000  0.3756  8 Mg 3.27-3.31, 2 Ho 3.30, 2 Y 3.31
Mg  0.5000  0.0000  0.6244  8 Mg 3.27-3.31, 2 Ho 3.30, 2 Y 3.31
Mg  0.5000  0.0000  0.8747  8 Mg 3.27-3.32, 4 Y 3.32
Mg  0.5000  0.5000  0.0000  4 Y 3.27, 8 Mg 3.32
Mg  0.5000  0.5000  0.2509  4 Y 3.27, 8 Mg 3.31-3.32
Mg  0.5000  0.5000  0.5000  4 Ho 3.27, 8 Mg 3.30
Mg  0.5000  0.5000  0.7491  4 Y 3.27, 8 Mg 3.31-3.32


# 6
VASP calculation (PBE) on an optimized crystal structure of In2Co2C.

Summary:
Its symmetry is P4/mbm. The calculation puts the spin magnetization at 0.4538 μB per atom. Its total DFT energy (no corrections) is -4.565 eV per atom.

a = 6.2871 Å, b = 6.2871 Å, c = 4.0128 Å
α = 90.00°, β = 90.00°, γ = 90.00°
With the nearest neighbours (Å) after each atom.
Atoms (fractional coordinates):
In  0.1677  0.3323  0.0000  2 C 2.34
In  0.3323  0.8323  0.0000  2 C 2.34
In  0.6677  0.1677  0.0000  2 C 2.34
In  0.8323  0.6677  0.0000  2 C 2.34
Co  0.1313  0.6313  0.5000  1 Co 2.34
Co  0.3687  0.1313  0.5000  1 Co 2.34
Co  0.6313  0.8687  0.5000  1 Co 2.34
Co  0.8687  0.3687  0.5000  1 Co 2.34
C  0.0000  0.0000  0.0000  4 In 2.34
C  0.5000  0.5000  0.0000  4 In 2.34